1.
Density functional theory data (PBE-GGA) for EuNbSe2 after structural relaxation.

Cell: 3.6211 3.6211 9.5135 Å, 79.03 79.03 60.00°
Last column: magnetic moment on the atom in μB.
Element x y z (fractional)
1 Nb 0.5000 0.5000 0.5000  0.01
2 Se 0.1077 0.1077 0.6769  -0.01
3 Eu 0.0000 0.0000 0.0000  7.12
4 Se 0.8923 0.8923 0.3231  -0.01

Uncorrected formation energy in kJ per mole of atoms: -68.2
Total magnetic moment in μB per cell: 7.70
Total DFT energy (no corrections) in eV per atom: -7.535
Mass density in Mg/m³: 6.346
Fermi-level density of states in states/eV per cell: 2.1

2.
Density functional theory data (PBE-GGA) for Er2ZnTc after structural relaxation.

Cell: 3.3903 3.3903 10.3058 Å, 80.53 80.53 60.00°
Element x y z (fractional)
1 Er 0.8988 0.8988 0.3036
2 Er 0.1012 0.1012 0.6964
3 Zn 0.0000 0.0000 0.0000
4 Tc 0.5000 0.5000 0.5000

Total magnetic moment in μB per cell: 0.00
Total DFT energy (no corrections) in eV per atom: -4.901
Mass density in Mg/m³: 8.209
Distance to the lowest polymorph of the same formula in eV per atom: 0.5002
Fermi-level density of states in states/eV per cell: 3.3
Formation energy from the elements in eV per atom: 0.290

3.
Density functional theory data (PBE-GGA) for V2GaW6 after structural relaxation.

Cell: 4.4772 5.4206 9.0346 Å, 133.46 104.28 90.04°
Element x y z (fractional)
1 W 0.4993 0.7432 0.9995
2 Ga 0.0000 0.0000 0.0000
3 W 0.7002 0.5400 0.4002
4 V 0.0962 0.6592 0.1926
5 W 0.2959 0.9410 0.5920
6 V 0.9038 0.3408 0.8074
7 W 0.7041 0.0590 0.4080
8 W 0.2998 0.4600 0.5998
9 W 0.5007 0.2568 0.0005

Total magnetic moment in μB per cell: 0.00
Total DFT energy (no corrections) in eV per atom: -10.654
Mass density in Mg/m³: 14.145
Fermi-level density of states in states/eV per cell: 7.7
Formation energy from the elements in eV per atom: 0.344

4.
Density functional theory data (PBE-GGA) for Tb2Ga5NiRu2 after structural relaxation.

Cell: 3.2117 10.3906 10.3906 Å, 90.00 90.00 90.00°
Element x y z (fractional)
1 Ni 0.0000 0.0000 0.0000
2 Ru 0.0000 0.1288 0.6288
3 Ga 0.5000 0.0000 0.5000
4 Ru 0.0000 0.6288 0.8712
5 Tb 0.0000 0.6814 0.1814
6 Tb 0.0000 0.1814 0.3186
7 Ga 0.5000 0.5000 0.0000
8 Ni 0.0000 0.5000 0.5000
9 Ru 0.0000 0.3712 0.1288
10 Tb 0.0000 0.8186 0.6814
11 Ga 0.5000 0.6849 0.4461
12 Ga 0.5000 0.9461 0.1849
13 Ga 0.5000 0.0539 0.8151
14 Ga 0.5000 0.3151 0.5539
15 Ga 0.5000 0.4461 0.3151
16 Ru 0.0000 0.8712 0.3712
17 Ga 0.5000 0.8151 0.9461
18 Ga 0.5000 0.5539 0.6849
19 Tb 0.0000 0.3186 0.8186
20 Ga 0.5000 0.1849 0.0539

Total magnetic moment in μB per cell: 0.00
Total DFT energy (no corrections) in eV per atom: -5.260
Mass density in Mg/m³: 8.881
Fermi-level density of states in states/eV per cell: 13.6
Formation energy from the elements in eV per atom: -0.387

5.
Density functional theory data (PBE-GGA) for BeCr2Fe5B2 after structural relaxation.

Cell: 2.6920 8.3259 8.3259 Å, 90.00 90.00 90.00°
Last column: magnetic moment on the atom in μB.
Element x y z (fractional)
1 Fe 0.5000 0.0640 0.7934  0.51
2 Fe 0.5000 0.5000 0.0000  0.08
3 B 0.0000 0.3720 0.1280  -0.01
4 B 0.0000 0.1280 0.6280  -0.01
5 B 0.0000 0.6280 0.8720  -0.01
6 Cr 0.0000 0.3234 0.8234  -0.97
7 Fe 0.5000 0.2066 0.0640  0.51
8 Fe 0.5000 0.7066 0.4360  0.51
9 Cr 0.0000 0.1766 0.3234  -0.97
10 Fe 0.5000 0.4360 0.2934  0.51
11 Be 0.0000 0.0000 0.0000  -0.01
12 Be 0.0000 0.5000 0.5000  -0.01
13 Cr 0.0000 0.6766 0.1766  -0.97
14 B 0.0000 0.8720 0.3720  -0.01
15 Fe 0.5000 0.5640 0.7066  0.51
16 Fe 0.5000 0.9360 0.2066  0.51
17 Cr 0.0000 0.8234 0.6766  -0.97
18 Fe 0.5000 0.0000 0.5000  0.08
19 Fe 0.5000 0.2934 0.5640  0.51
20 Fe 0.5000 0.7934 0.9360  0.51

Total magnetic moment in μB per cell: 0.17
Total DFT energy (no corrections) in eV per atom: -8.077
Mass density in Mg/m³: 7.365
Fermi-level density of states in states/eV per cell: 15.6
Formation energy from the elements in eV per atom: -0.213

6.
Density functional theory data (PBE-GGA) for GeRhN2 after structural relaxation.

Cell: 6.1703 6.1703 6.1703 Å, 29.04 29.04 29.04°
Element x y z (fractional)
1 N 0.8921 0.8921 0.8921
2 Ge 0.0000 0.0000 0.0000
3 Rh 0.5000 0.5000 0.5000
4 N 0.1079 0.1079 0.1079

Uncorrected formation energy in kJ per mole of atoms: 61.3
Total magnetic moment in μB per cell: 0.00
Total DFT energy (no corrections) in eV per atom: -6.519
Mass density in Mg/m³: 6.905
Fermi-level density of states in states/eV per cell: 2.1

7.
Density functional theory data (PBE-GGA) for SiPb4 after structural relaxation.

Cell: 6.6108 6.6108 6.6108 Å, 94.12 94.12 148.91°
Element x y z (fractional)
1 Pb 0.2341 0.5743 0.8084
2 Pb 0.7659 0.4257 0.1916
3 Pb 0.4257 0.2341 0.6598
4 Si 0.0000 0.0000 0.0000
5 Pb 0.5743 0.7659 0.3402

Uncorrected formation energy in kJ per mole of atoms: 19.0
Total magnetic moment in μB per cell: 0.00
Total DFT energy (no corrections) in eV per atom: -3.854
Mass density in Mg/m³: 9.899
Distance to the lowest polymorph of the same formula in eV per atom: 0.0000
Fermi-level density of states in states/eV per cell: 2.1

8.
Density functional theory data (PBE-GGA) for Tb4PmPu3S8 after structural relaxation.

Cell: 7.8847 7.9184 7.8848 Å, 119.86 120.00 90.00°
Last column: magnetic moment on the atom in μB.
Element x y z (fractional)
1 S 0.2530 0.7545 0.0015  -0.03
2 Tb 0.0000 0.0000 0.5000  0.01
3 S 0.2515 0.2455 0.9985  -0.03
4 S 0.7485 0.7545 0.0015  -0.03
5 Tb 0.5000 0.0000 0.0000  0.06
6 S 0.7470 0.2455 0.4940  -0.03
7 Tb 0.0000 0.0000 0.0000  0.01
8 Pu 0.5000 0.5000 0.0000  5.36
9 S 0.7504 0.7513 0.5009  -0.06
10 Pm 0.0000 0.5000 0.0000  0.07
11 S 0.7470 0.2455 0.9985  -0.03
12 Tb 0.5000 0.0000 0.5000  0.01
13 Pu 0.5000 0.5000 0.5000  5.36
14 S 0.2530 0.7545 0.5060  -0.03
15 Pu 0.0000 0.5000 0.5000  5.36
16 S 0.2496 0.2487 0.4991  -0.06

Uncorrected formation energy in kJ per mole of atoms: -187.8
Total magnetic moment in μB per cell: 17.18
Total DFT energy (no corrections) in eV per atom: -8.152
Mass density in Mg/m³: 8.422
Fermi-level density of states in states/eV per cell: 23.7